Material: CeVH3
Method: DFT, PBE-GGA
State: relaxed Values from VASP.

Density of states at the Fermi level in states/eV/cell: 5.03
E above lowest polymorph in eV/atom: 0.000
Space-group type: Pm-3m (221)

Geometry as Quantum ESPRESSO input:
```
&SYSTEM
  ibrav = 0, nat = 5, ntyp = 3
/
ATOMIC_SPECIES
Ce 140.12 Ce.upf
V 50.94 V.upf
H 1.01 H.upf
ATOMIC_POSITIONS angstrom
Ce 0.000 0.000 0.000
V 1.846 1.846 1.846
H 0.000 1.846 1.846
H 1.846 0.000 1.846
H 1.846 1.846 0.000
CELL_PARAMETERS angstrom
3.692 0.000 0.000
0.000 3.692 0.000
0.000 0.000 3.692
```